Entry 1:
First-principles (PBE) data for a relaxed Rb2PmCu2Te4 crystal, as listed in Alexandria.

Formation energy without anion corrections: -836 meV per atom
VASP energy: -3.89 eV/atom
Magnetization: 0.00 μB/cell
SG: C2/m
Mass density: 5.355 g/cm³

extended XYZ file:
```
9
Lattice="8.0996 -2.1720 0.0000 8.0996 2.1720 0.0000 -2.8120 0.0000 8.4032" Properties=species:S:1:pos:R:3 pbc="T T T"
Rb 2.0082 0.0000 0.4294
Rb 11.3790 0.0000 7.9738
Pm -1.4060 0.0000 4.2016
Cu 3.7626 0.0000 4.3113
Cu 9.6246 0.0000 4.0919
Te 1.4251 0.0000 5.6411
Te 5.6323 0.0000 6.1891
Te 7.7548 0.0000 2.2141
Te 11.9621 0.0000 2.7620
```

=====

Entry 2:
First-principles (PBE) data for a relaxed Ba2Cd2Te crystal, as listed in Alexandria.

Formation energy without anion corrections: -575 meV per atom
VASP energy: -2.34 eV/atom
Magnetization: 0.00 μB/cell
SG: P4/mbm
Mass density: 5.534 g/cm³

extended XYZ file:
```
10
Lattice="8.9264 0.0000 0.0000 0.0000 8.9264 0.0000 0.0000 0.0000 4.7230" Properties=species:S:1:pos:R:3 pbc="T T T"
Ba 1.6314 2.8318 0.0000
Ba 2.8318 7.2950 0.0000
Ba 6.0946 1.6314 0.0000
Ba 7.2950 6.0946 0.0000
Cd 1.0390 5.5022 2.3615
Cd 3.4242 1.0390 2.3615
Cd 5.5022 7.8874 2.3615
Cd 7.8874 3.4242 2.3615
Te 0.0000 0.0000 2.3615
Te 4.4632 4.4632 2.3615
```

=====

Entry 3:
First-principles (PBE) data for a relaxed PrHoGaHg crystal, as listed in Alexandria.

VASP energy: -3.66 eV/atom
E_form: -489 meV per atom
Magnetization: 0.01 μB/cell
SG: F-43m
Mass density: 9.202 g/cm³

extended XYZ file:
```
4
Lattice="0.0000 3.7322 3.7322 3.7322 0.0000 3.7322 3.7322 3.7322 0.0000" Properties=species:S:1:pos:R:3 pbc="T T T"
Pr 0.0000 0.0000 0.0000
Ho 3.7322 3.7322 3.7322
Ga 5.5982 5.5982 5.5982
Hg 1.8661 1.8661 1.8661
```

=====

Entry 4:
First-principles (PBE) data for a relaxed NdAl6Fe6 crystal, as listed in Alexandria.

VASP energy: -6.34 eV/atom
E_form: -341 meV per atom
Magnetization: 10.19 μB/cell
SG: Immm
Mass density: 5.702 g/cm³

extended XYZ file:
```
13
Lattice="-2.5011 4.2905 4.3504 2.5011 -4.2905 4.3504 2.5011 4.2905 -4.3504" Properties=species:S:1:pos:R:3 pbc="T T T"
Nd 0.0000 0.0000 0.0000
Al 2.5011 0.0000 1.7199
Al 0.0000 2.9144 0.0000
Al 0.0000 0.0000 3.0314
Al 0.0000 0.0000 5.6695
Al 0.0000 5.6665 0.0000
Al 0.0000 4.2905 2.6306
Fe 1.2505 2.1452 -2.1752
Fe 1.2505 -2.1452 2.1752
Fe 2.5011 2.0721 0.0000
Fe -1.2505 2.1452 2.1752
Fe 1.2505 2.1452 2.1752
Fe 0.0000 2.2183 4.3504
```